TaCdFe2O6: relaxed, PBE+U.

Cell lengths 5.397, 5.424, 5.689 Å; angles 61.15, 62.09, 60.19 degrees
Each line ends with the local moment (μB).
Sites, in units of the cell vectors:
Ta (0.310, 0.316, 0.063)  0.04
Cd (0.802, 0.805, 0.594)  0.01
Fe (0.518, 0.519, 0.445)  4.34
Fe (0.027, 0.022, 0.927)  3.79
O (0.572, 0.263, 0.244)  0.09
O (0.259, 0.924, 0.235)  0.09
O (0.924, 0.573, 0.239)  0.09
O (0.393, 0.700, 0.752)  0.11
O (0.703, 0.149, 0.761)  0.12
O (0.154, 0.390, 0.754)  0.12

Output
* volume: 12.07 Å³/atom
* ρ: 6.892 g/cm³
* energy: -7.22 eV/atom